# Nd2Dy2Ir3 PBE optimized geometry
data_Nd2Dy2Ir3
_chemical_formula_sum 'Nd2 Dy2 Ir3'
_space_group_name_H-M_alt 'P 1'
_space_group_IT_number 1
_cell_length_a 8.6511
_cell_length_b 8.6511
_cell_length_c 8.6511
_cell_angle_alpha 32.57
_cell_angle_beta 32.57
_cell_angle_gamma 32.57
loop_
_space_group_symop_operation_xyz
'x,y,z'
loop_
_atom_site_label
_atom_site_type_symbol
_atom_site_fract_x
_atom_site_fract_y
_atom_site_fract_z
_atom_site_occupancy
Nd1 Nd 0.1239 0.1239 0.1239 1
Nd2 Nd 0.8761 0.8761 0.8761 1
Dy1 Dy 0.3736 0.3736 0.3736 1
Dy2 Dy 0.6264 0.6264 0.6264 1
Ir1 Ir 0.0000 0.0000 0.0000 1
Ir2 Ir 0.2527 0.2527 0.2527 1
Ir3 Ir 0.7473 0.7473 0.7473 1
# * calculated total energy: -50.385 eV per formula unit
# * ΔE_f: -0.723 eV/atom
# * space group: R-3m (166)
# * M_tot: 0.00 μB per atom